HfZr6Os2 after structural relaxation. Source: Alexandria, functional PBE.

Cell lengths 5.8091, 5.8091, 10.5278 Å; angles 107.93, 107.93, 33.14 degrees
Last column: nearest neighbours and their distance in Å.
Fractional positions:
Hf (0.0000, 0.0000, 0.0000)  4 Os 2.87, 4 Zr 3.19
Zr (0.0154, 0.0154, 0.3267)  2 Os 2.82, 4 Zr 3.05-3.14
Zr (0.3162, 0.3162, 0.1194)  2 Os 2.82, 4 Zr 2.98-3.05
Zr (0.3203, 0.3203, 0.4224)  2 Os 2.90, 8 Zr 3.08-3.22
Zr (0.6797, 0.6797, 0.5776)  2 Os 2.90, 8 Zr 3.08-3.22
Zr (0.6838, 0.6838, 0.8806)  2 Os 2.82, 4 Zr 2.98-3.05
Zr (0.9846, 0.9846, 0.6733)  2 Os 2.82, 4 Zr 3.05-3.14
Os (0.3437, 0.3437, 0.7895)  6 Zr 2.82-2.90, 2 Hf 2.87
Os (0.6563, 0.6563, 0.2105)  6 Zr 2.82-2.90, 2 Hf 2.87

N(E_F) in states/eV/cell: 9.74
Space-group type: C2/m
Magnetization in Bohr magnetons per cell: 0.00
Crystal system: monoclinic
Energy relative to the elements in eV/atom: -0.257